First-principles (GGA-PBE) data for crystalline Th3RhPb at its relaxed geometry, as listed in the Alexandria database.

a = 4.553 Å, b = 8.232 Å, c = 8.664 Å
α = 115.94°, β = 90.00°, γ = 90.00°
Positions (direct):
Rh (0.250, 0.916, 0.392)
Rh (0.750, 0.084, 0.608)
Th (0.750, 0.685, 0.408)
Th (0.750, 0.035, 0.213)
Th (0.250, 0.315, 0.592)
Th (0.250, 0.667, 0.067)
Th (0.750, 0.333, 0.933)
Th (0.250, 0.965, 0.787)
Pb (0.250, 0.334, 0.213)
Pb (0.750, 0.666, 0.787)

Space group ... P2_1/m (11)
Density of states at the Fermi level ... 11.02 states/eV per cell
Formation energy from the elements ... -43.27 kJ per mole of atoms
Calculated density ... 11.45 g cm⁻³



First-principles (GGA-PBE) data for crystalline Na2InGe2 at its relaxed geometry, as listed in the Alexandria database.

a = 8.826 Å, b = 8.826 Å, c = 3.119 Å
α = 90.00°, β = 90.00°, γ = 90.00°
Positions (direct):
Na (0.310, 0.810, 0.000)
Na (0.190, 0.310, 0.000)
Na (0.690, 0.190, 0.000)
Na (0.810, 0.690, 0.000)
Ge (0.896, 0.396, 0.500)
Ge (0.104, 0.604, 0.500)
Ge (0.604, 0.896, 0.500)
Ge (0.396, 0.104, 0.500)
In (0.000, 0.000, 0.000)
In (0.500, 0.500, 0.000)

Space group ... P4/mbm (127)
Density of states at the Fermi level ... 4.94 states/eV per cell
Energy relative to the lowest polymorph listed for this composition ... 19.9 kJ per mole of atoms
Formation energy from the elements ... 9.53 kJ per mole of atoms
Calculated density ... 4.18 g cm⁻³



First-principles (GGA-PBE) data for crystalline HgWCl at its relaxed geometry, as listed in the Alexandria database.

a = 7.800 Å, b = 7.800 Å, c = 7.800 Å
α = 158.24°, β = 158.24°, γ = 30.96°
Positions (direct):
Cl (0.051, 0.051, 0.000)
W (0.653, 0.653, 0.000)
Hg (0.297, 0.297, 0.000)

Space group ... I4mm (107)
Uncorrected formation energy ... 0.660 eV/atom
Density of states at the Fermi level ... 2.93 states/eV per cell
Energy relative to the lowest polymorph listed for this composition ... 32.8 kJ per mole of atoms
Calculated density ... 10.70 g cm⁻³



First-principles (GGA-PBE) data for crystalline AlNiAgSe at its relaxed geometry, as listed in the Alexandria database.

a = 3.630 Å, b = 3.536 Å, c = 6.185 Å
α = 90.00°, β = 107.04°, γ = 90.00°
Positions (direct):
Ag (0.630, 0.000, 0.211)
Ni (0.454, 0.500, 0.858)
Al (0.967, 0.000, 0.884)
Se (0.817, 0.500, 0.583)

Space group ... Amm2 (38)
Uncorrected formation energy ... -0.153 eV/atom
Density of states at the Fermi level ... 1.37 states/eV per cell
Energy relative to the lowest polymorph listed for this composition ... 7.8 kJ per mole of atoms
Calculated density ... 5.96 g cm⁻³



First-principles (GGA-PBE) data for crystalline Mg4CoPt at its relaxed geometry, as listed in the Alexandria database.

a = 5.336 Å, b = 5.336 Å, c = 5.336 Å
α = 60.00°, β = 60.00°, γ = 60.00°
Positions (direct):
Mg (0.375, 0.375, 0.375)
Mg (0.375, 0.875, 0.375)
Mg (0.875, 0.375, 0.375)
Mg (0.375, 0.375, 0.875)
Pt (0.750, 0.750, 0.750)
Co (0.000, 0.000, 0.000)

Space group ... F-43m (216)
Density of states at the Fermi level ... 7.36 states/eV per cell
Formation energy from the elements ... 29.27 kJ per mole of atoms
Calculated density ... 5.43 g cm⁻³



First-principles (GGA-PBE) data for crystalline Ho3GeSe2 at its relaxed geometry, as listed in the Alexandria database.

a = 4.111 Å, b = 5.773 Å, c = 7.087 Å
α = 114.03°, β = 106.86°, γ = 90.00°
Positions (direct):
Ho (0.841, 0.341, 0.182)
Ho (0.159, 0.659, 0.818)
Ho (0.500, 0.000, 0.500)
Se (0.169, 0.169, 0.838)
Se (0.831, 0.831, 0.162)
Ge (0.500, 0.500, 0.500)

Space group ... Immm (71)
Uncorrected formation energy ... -1.552 eV/atom
Density of states at the Fermi level ... 1.72 states/eV per cell
Calculated density ... 8.27 g cm⁻³



First-principles (GGA-PBE) data for crystalline YPt2Pb at its relaxed geometry, as listed in the Alexandria database.

a = 3.632 Å, b = 3.592 Å, c = 7.490 Å
α = 61.29°, β = 90.00°, γ = 90.00°
Positions (direct):
Y (0.500, 0.250, 0.250)
Pb (0.500, 0.750, 0.750)
Pt (0.000, 0.517, 0.483)
Pt (0.000, 0.983, 0.017)

Space group ... Pmmm (47)
Density of states at the Fermi level ... 1.82 states/eV per cell
Formation energy from the elements ... -69.50 kJ per mole of atoms
Calculated density ... 13.30 g cm⁻³



First-principles (GGA-PBE) data for crystalline LaBeTc2Te at its relaxed geometry, as listed in the Alexandria database.

a = 4.977 Å, b = 4.518 Å, c = 4.977 Å
α = 90.00°, β = 90.00°, γ = 90.00°
Positions (direct):
Te (0.000, 0.000, 0.000)
Tc (0.000, 0.000, 0.500)
Tc (0.500, 0.000, 0.000)
Be (0.000, 0.500, 0.000)
La (0.500, 0.500, 0.500)

Space group ... P4/mmm (123)
Uncorrected formation energy ... 0.907 eV/atom
Density of states at the Fermi level ... 3.88 states/eV per cell
Calculated density ... 7.00 g cm⁻³



First-principles (GGA-PBE) data for crystalline PmTmP2Rh5 at its relaxed geometry, as listed in the Alexandria database.

a = 4.055 Å, b = 4.055 Å, c = 10.594 Å
α = 90.00°, β = 90.00°, γ = 90.00°
Positions (direct):
Tm (0.000, 0.000, 0.000)
P (0.500, 0.500, 0.714)
P (0.500, 0.500, 0.286)
Rh (0.000, 0.500, 0.192)
Rh (0.500, 0.500, 0.500)
Rh (0.500, 0.000, 0.808)
Rh (0.500, 0.000, 0.192)
Rh (0.000, 0.500, 0.808)
Pm (0.000, 0.000, 0.500)

Space group ... P4/mmm (123)
Density of states at the Fermi level ... 3.97 states/eV per cell
Formation energy from the elements ... -74.15 kJ per mole of atoms
Calculated density ... 8.49 g cm⁻³



First-principles (GGA-PBE) data for crystalline Ca2SeCl at its relaxed geometry, as listed in the Alexandria database.

a = 4.275 Å, b = 4.275 Å, c = 8.149 Å
α = 90.00°, β = 90.00°, γ = 123.50°
Positions (direct):
Se (0.500, 0.500, 0.750)
Cl (0.500, 0.500, 0.250)
Ca (0.000, 0.000, 0.989)
Ca (0.000, 0.000, 0.511)

Space group ... Cmmm (65)
Uncorrected formation energy ... -1.513 eV/atom
Density of states at the Fermi level ... 2.68 states/eV per cell
Energy relative to the lowest polymorph listed for this composition ... 23.8 kJ per mole of atoms
Calculated density ... 2.60 g cm⁻³



First-principles (GGA-PBE) data for crystalline PrY5Er2Tm at its relaxed geometry, as listed in the Alexandria database.

a = 5.621 Å, b = 10.461 Å, c = 10.515 Å
α = 90.00°, β = 90.00°, γ = 105.59°
Positions (direct):
Pr (0.197, 0.394, 0.015)
Pr (0.803, 0.606, 0.515)
Er (0.110, 0.221, 0.736)
Er (0.888, 0.776, 0.818)
Er (0.890, 0.779, 0.236)
Er (0.112, 0.224, 0.318)
Tm (0.588, 0.175, 0.951)
Tm (0.412, 0.825, 0.451)
Y (0.984, 0.968, 0.523)
Y (0.479, 0.958, 0.738)
Y (0.016, 0.032, 0.023)
Y (0.302, 0.604, 0.705)
Y (0.521, 0.042, 0.238)
Y (0.390, 0.780, 0.025)
Y (0.278, 0.556, 0.313)
Y (0.698, 0.396, 0.205)
Y (0.722, 0.444, 0.813)
Y (0.610, 0.220, 0.525)

Space group ... Cmc2_1 (36)
Density of states at the Fermi level ... 30.71 states/eV per cell
Formation energy from the elements ... 15.08 kJ per mole of atoms
Calculated density ... 6.07 g cm⁻³



First-principles (GGA-PBE) data for crystalline KTlTc2 at its relaxed geometry, as listed in the Alexandria database.

a = 3.691 Å, b = 3.691 Å, c = 7.478 Å
α = 90.00°, β = 90.00°, γ = 90.00°
Positions (direct):
Tc (0.000, 0.000, 0.100)
Tc (0.000, 0.000, 0.400)
Tl (0.500, 0.500, 0.250)
K (0.500, 0.500, 0.750)

Space group ... P4/mmm (123)
Density of states at the Fermi level ... 3.98 states/eV per cell
Energy relative to the lowest polymorph listed for this composition ... 61.3 kJ per mole of atoms
Formation energy from the elements ... 108.10 kJ per mole of atoms
Calculated density ... 7.16 g cm⁻³



First-principles (GGA-PBE) data for crystalline Ho6Al2Ni at its relaxed geometry, as listed in the Alexandria database.

a = 4.919 Å, b = 7.050 Å, c = 8.465 Å
α = 114.61°, β = 106.88°, γ = 90.00°
Positions (direct):
Ho (0.159, 0.918, 0.317)
Ho (0.500, 0.769, 0.000)
Ho (0.841, 0.601, 0.683)
Ho (0.841, 0.082, 0.683)
Ho (0.159, 0.399, 0.317)
Ho (0.500, 0.231, 0.000)
Al (0.334, 0.334, 0.667)
Al (0.666, 0.666, 0.333)
Ni (0.000, 0.000, 0.000)

Space group ... Immm (71)
Density of states at the Fermi level ... 7.30 states/eV per cell
Formation energy from the elements ... -6.83 kJ per mole of atoms
Calculated density ... 7.24 g cm⁻³



First-principles (GGA-PBE) data for crystalline TiP3Au at its relaxed geometry, as listed in the Alexandria database.

a = 4.669 Å, b = 4.669 Å, c = 4.669 Å
α = 90.00°, β = 90.00°, γ = 90.00°
Positions (direct):
Au (0.500, 0.500, 0.500)
P (0.000, 0.500, 0.000)
P (0.000, 0.000, 0.500)
P (0.500, 0.000, 0.000)
Ti (0.000, 0.000, 0.000)

Space group ... Pm-3m (221)
Density of states at the Fermi level ... 3.79 states/eV per cell
Energy relative to the lowest polymorph listed for this composition ... 0.0 kJ per mole of atoms
Formation energy from the elements ... 42.79 kJ per mole of atoms
Calculated density ... 5.51 g cm⁻³



First-principles (GGA-PBE) data for crystalline CaPu2Au6 at its relaxed geometry, as listed in the Alexandria database.

a = 3.248 Å, b = 8.391 Å, c = 8.391 Å
α = 120.00°, β = 90.00°, γ = 90.00°
Positions (direct):
Ca (0.000, 0.000, 0.000)
Au (0.500, 0.667, 0.667)
Au (0.500, 0.667, 0.000)
Au (0.500, 0.333, 0.000)
Au (0.500, 0.000, 0.667)
Au (0.500, 0.333, 0.333)
Au (0.500, 0.000, 0.333)
Pu (0.000, 0.333, 0.667)
Pu (0.000, 0.667, 0.333)

Space group ... P6/mmm (191)
Density of states at the Fermi level ... 22.52 states/eV per cell
Formation energy from the elements ... -52.73 kJ per mole of atoms
Calculated density ... 14.34 g cm⁻³



First-principles (GGA-PBE) data for crystalline AgHgTe2 at its relaxed geometry, as listed in the Alexandria database.

a = 12.026 Å, b = 12.026 Å, c = 12.026 Å
α = 15.92°, β = 15.92°, γ = 15.92°
Positions (direct):
Te (0.517, 0.517, 0.517)
Te (0.983, 0.983, 0.983)
Hg (0.750, 0.750, 0.750)
Ag (0.250, 0.250, 0.250)

Space group ... R-3m (166)
Uncorrected formation energy ... 0.152 eV/atom
Density of states at the Fermi level ... 2.64 states/eV per cell
Calculated density ... 8.20 g cm⁻³



First-principles (GGA-PBE) data for crystalline CaMnCr2 at its relaxed geometry, as listed in the Alexandria database.

a = 3.275 Å, b = 4.637 Å, c = 4.673 Å
α = 90.00°, β = 90.00°, γ = 90.00°
Positions (direct):
Cr (0.000, 0.000, 0.000)
Cr (0.500, 0.500, 0.000)
Ca (0.000, 0.500, 0.500)
Mn (0.500, 0.000, 0.500)

Space group ... Pmmm (47)
Density of states at the Fermi level ... 3.75 states/eV per cell
Energy relative to the lowest polymorph listed for this composition ... 26.4 kJ per mole of atoms
Formation energy from the elements ... 68.88 kJ per mole of atoms
Calculated density ... 4.66 g cm⁻³



First-principles (GGA-PBE) data for crystalline AcPm6Pr3 at its relaxed geometry, as listed in the Alexandria database.

a = 6.989 Å, b = 9.317 Å, c = 10.206 Å
α = 139.88°, β = 110.02°, γ = 90.00°
Positions (direct):
Ac (0.500, 0.500, 0.000)
Pr (0.000, 0.000, 0.000)
Pr (0.419, 0.997, 0.837)
Pr (0.581, 0.003, 0.163)
Pm (0.129, 0.837, 0.258)
Pm (0.871, 0.163, 0.742)
Pm (0.555, 0.437, 0.632)
Pm (0.445, 0.563, 0.368)
Pm (0.923, 0.563, 0.368)
Pm (0.077, 0.437, 0.632)

Space group ... C2/m (12)
Density of states at the Fermi level ... 18.95 states/eV per cell
Energy relative to the lowest polymorph listed for this composition ... 1.1 kJ per mole of atoms
Formation energy from the elements ... 20.40 kJ per mole of atoms
Calculated density ... 6.96 g cm⁻³



First-principles (GGA-PBE) data for crystalline InCoS2N at its relaxed geometry, as listed in the Alexandria database.

a = 5.041 Å, b = 5.041 Å, c = 4.044 Å
α = 90.00°, β = 90.00°, γ = 90.00°
Positions (direct):
S (0.000, 0.500, 0.000)
S (0.500, 0.000, 0.000)
Co (0.500, 0.500, 0.500)
In (0.000, 0.000, 0.000)
N (0.000, 0.000, 0.500)

Space group ... P4/mmm (123)
Uncorrected formation energy ... 1.468 eV/atom
Density of states at the Fermi level ... 12.13 states/eV per cell
Energy relative to the lowest polymorph listed for this composition ... 116.8 kJ per mole of atoms
Calculated density ... 4.07 g cm⁻³



First-principles (GGA-PBE) data for crystalline Ac3Pm4Ho2 at its relaxed geometry, as listed in the Alexandria database.

a = 6.497 Å, b = 6.501 Å, c = 9.330 Å
α = 82.94°, β = 96.27°, γ = 60.25°
Positions (direct):
Ac (0.547, 0.119, 0.666)
Ac (0.000, 0.000, 0.000)
Ac (0.453, 0.881, 0.334)
Pm (0.334, 0.342, 0.003)
Pm (0.891, 0.447, 0.668)
Pm (0.666, 0.658, 0.997)
Pm (0.109, 0.553, 0.332)
Ho (0.216, 0.779, 0.665)
Ho (0.784, 0.221, 0.335)

Space group ... P-1 (2)
Density of states at the Fermi level ... 13.05 states/eV per cell
Formation energy from the elements ... 3.96 kJ per mole of atoms
Calculated density ... 7.94 g cm⁻³